K2TlHg12 | PBE | optimized geometry

Computed properties:
Density of states at the Fermi level in states/eV/cell: 10.7
Energy of formation in eV per atom: -0.1111

a = 7.2190 Å, b = 7.2190 Å, c = 18.4218 Å
α = 90.00°, β = 90.00°, γ = 90.00°
Fractional coordinates of all 30 atoms:
K 0.0000 0.5000 0.2527
K 0.5000 0.0000 0.2527
K 0.5000 0.0000 0.7473
K 0.0000 0.5000 0.7473
Hg 0.5000 0.5000 0.6433
Hg 0.0000 0.0000 0.3567
Hg 0.2504 0.2496 0.1003
Hg 0.0000 0.0000 0.6433
Hg 0.7496 0.7504 0.1003
Hg 0.1557 0.3443 0.4344
Hg 0.5000 0.5000 0.1935
Hg 0.6557 0.1557 0.4344
Hg 0.8443 0.3443 0.5656
Hg 0.7504 0.7496 0.8997
Hg 0.1557 0.6557 0.5656
Hg 0.0000 0.0000 0.8065
Hg 0.8443 0.6557 0.4344
Hg 0.2496 0.2504 0.8997
Hg 0.6557 0.8443 0.5656
Hg 0.7504 0.2504 0.1003
Hg 0.2496 0.7496 0.1003
Hg 0.0000 0.0000 0.1935
Hg 0.7496 0.2496 0.8997
Hg 0.5000 0.5000 0.8065
Hg 0.2504 0.7504 0.8997
Hg 0.3443 0.1557 0.5656
Hg 0.5000 0.5000 0.3567
Hg 0.3443 0.8443 0.4344
Tl 0.5000 0.0000 0.0000
Tl 0.0000 0.5000 0.0000

=====

Sm2DyPa2Ru5 | PBE | optimized geometry

Computed properties:
Density of states at the Fermi level in states/eV/cell: 14.1
Energy of formation in eV per atom: -0.2875

a = 3.7201 Å, b = 10.6574 Å, c = 10.6574 Å
α = 90.00°, β = 90.00°, γ = 90.00°
Fractional coordinates of all 20 atoms:
Sm 0.0000 0.6745 0.1745
Sm 0.0000 0.8255 0.6745
Sm 0.0000 0.3255 0.8255
Sm 0.0000 0.1745 0.3255
Dy 0.0000 0.0000 0.0000
Dy 0.0000 0.5000 0.5000
Pa 0.0000 0.6331 0.8669
Pa 0.0000 0.1331 0.6331
Pa 0.0000 0.8669 0.3669
Pa 0.0000 0.3669 0.1331
Ru 0.5000 0.2098 0.0553
Ru 0.5000 0.0000 0.5000
Ru 0.5000 0.2902 0.5553
Ru 0.5000 0.7902 0.9447
Ru 0.5000 0.0553 0.7902
Ru 0.5000 0.7098 0.4447
Ru 0.5000 0.5553 0.7098
Ru 0.5000 0.9447 0.2098
Ru 0.5000 0.4447 0.2902
Ru 0.5000 0.5000 0.0000

=====

Ti5AlAu2 | PBE | optimized geometry

Computed properties:
Density of states at the Fermi level in states/eV/cell: 9.1
Energy of formation in eV per atom: -0.3318

a = 4.0640 Å, b = 4.0640 Å, c = 8.6512 Å
α = 103.58°, β = 103.58°, γ = 90.00°
Fractional coordinates of all 8 atoms:
Au 0.7589 0.7589 0.5177
Au 0.2411 0.2411 0.4823
Ti 0.6226 0.1226 0.2452
Ti 0.3774 0.8774 0.7548
Ti 0.5000 0.5000 0.0000
Ti 0.8774 0.3774 0.7548
Ti 0.1226 0.6226 0.2452
Al 0.0000 0.0000 0.0000

=====

AlZn2Cu8 | PBE | optimized geometry

Computed properties:
Density of states at the Fermi level in states/eV/cell: 2.7
E above lowest polymorph in meV per atom: 0.0
Energy of formation in eV per atom: -0.0454

a = 3.3818 Å, b = 7.7809 Å, c = 6.9437 Å
α = 124.08°, β = 104.09°, γ = 90.00°
Fractional coordinates of all 11 atoms:
Cu 0.6673 0.4138 0.3346
Cu 0.0000 0.7597 0.0000
Cu 0.1757 0.1757 0.3514
Cu 0.3327 0.0792 0.6654
Cu 0.3327 0.5862 0.6654
Cu 0.6673 0.9208 0.3346
Cu 0.8243 0.8243 0.6486
Cu 0.0000 0.2403 0.0000
Al 0.5000 0.0000 0.0000
Zn 0.1401 0.6401 0.2802
Zn 0.8599 0.3599 0.7198

=====

MnBi3Se6 | PBE | optimized geometry

Computed properties:
Density of states at the Fermi level in states/eV/cell: 3.1
E above lowest polymorph in meV per atom: 22.1
ΔE_f (raw) in eV/atom: -0.32

a = 7.2127 Å, b = 7.2127 Å, c = 7.6195 Å
α = 61.75°, β = 61.75°, γ = 60.00°
Fractional coordinates of all 10 atoms:
Se 0.5892 0.1950 0.2579
Se 0.9579 0.5892 0.2579
Se 0.4871 0.7376 0.7327
Se 0.7376 0.0426 0.7327
Se 0.0426 0.4871 0.7327
Se 0.1950 0.9579 0.2579
Bi 0.3522 0.3522 0.9434
Bi 0.1535 0.1535 0.5394
Bi 0.6422 0.6422 0.0735
Mn 0.8428 0.8428 0.4717

=====

LiZnCd3 | PBE | optimized geometry

Computed properties:
Density of states at the Fermi level in states/eV/cell: 2.3
E above lowest polymorph in meV per atom: 419.3
Energy of formation in eV per atom: 0.3095

a = 4.9927 Å, b = 4.9927 Å, c = 4.9927 Å
α = 90.00°, β = 90.00°, γ = 90.00°
Fractional coordinates of all 5 atoms:
Zn 0.5000 0.5000 0.5000
Cd 0.5000 0.0000 0.0000
Cd 0.0000 0.5000 0.0000
Cd 0.0000 0.0000 0.5000
Li 0.0000 0.0000 0.0000